Record 1
# K2CaIn

Crystalline K2CaIn at its relaxed geometry (PBE-GGA, Alexandria via LeMat-Bulk).

Computed properties:
mass density	2.32	g/cm³
symmetry	P2/m (10)
D(E_F)	3.28	states/eV/cell
electronic total energy	-6.6	eV/f.u.
calculated formation energy	1.93	kcal/mol of atoms

```
K2CaIn
1.0
-3.4299 5.7706 0.1259
-0.1913 -0.0255 -4.0399
-5.3039 -3.1447 -0.3580
K In Ca
2 1 1
Direct
0.0000 0.9750 0.9829 K
0.0000 0.5250 0.5171 K
0.5000 0.7500 0.7500 In
0.5000 0.2500 0.2500 Ca
```


Record 2
# KCaIn

Crystalline KCaIn at its relaxed geometry (PBE-GGA, Alexandria via LeMat-Bulk).

Computed properties:
mass density	2.98	g/cm³
symmetry	P3m1 (156)
D(E_F)	2.57	states/eV/cell
electronic total energy	-5.8	eV/f.u.
calculated formation energy	0.21	kcal/mol of atoms

```
KCaIn
1.0
5.7949 0.0000 0.0000
-2.8975 5.0185 0.0000
0.0000 0.0000 3.7136
K Ca In
1 1 1
Direct
0.3333 0.6667 0.6739 K
0.0000 0.0000 0.0081 Ca
0.6667 0.3333 0.3181 In
```


Record 3
# KCaIn

Crystalline KCaIn at its relaxed geometry (PBE-GGA, Alexandria via LeMat-Bulk).

Computed properties:
mass density	2.48	g/cm³
symmetry	F-43m (216)
D(E_F)	4.24	states/eV/cell
electronic total energy	-4.6	eV/f.u.
calculated formation energy	9.53	kcal/mol of atoms

```
KCaIn
1.0
-4.2912 3.5970 -0.9955
-2.7263 -0.1372 -4.9892
-5.3369 -1.9461 -0.2716
K Ca In
1 1 1
Direct
0.7500 0.7500 0.7500 K
0.0000 0.0000 0.0000 Ca
0.5000 0.5000 0.5000 In
```


Record 4
# KCaIn

Crystalline KCaIn at its relaxed geometry (PBE-GGA, Alexandria via LeMat-Bulk).

Computed properties:
mass density	2.55	g/cm³
symmetry	I4/mmm (139)
D(E_F)	3.89	states/eV/cell
electronic total energy	-6.3	eV/f.u.
calculated formation energy	-3.86	kcal/mol of atoms

```
KCaIn
1.0
4.1594 0.0000 0.0000
0.0000 4.1594 0.0000
-2.0797 -2.0797 14.5992
In Ca K
2 2 2
Direct
0.8399 0.8399 0.6798 In
0.1601 0.1601 0.3202 In
0.7090 0.7090 0.4180 Ca
0.2910 0.2910 0.5820 Ca
0.4231 0.4231 0.8462 K
0.5769 0.5769 0.1538 K
```


Record 5
# KCa2In2

Crystalline KCa2In2 at its relaxed geometry (PBE-GGA, Alexandria via LeMat-Bulk).

Computed properties:
mass density	2.78	g/cm³
symmetry	I4/mmm (139)
D(E_F)	4.20	states/eV/cell
electronic total energy	-10.5	eV/f.u.
calculated formation energy	0.36	kcal/mol of atoms

```
KCa2In2
1.0
5.8728 0.0000 0.0000
0.0000 5.8728 0.0000
2.9364 2.9364 6.0478
K Ca In
1 2 2
Direct
0.0000 0.0000 0.0000 K
0.3453 0.3453 0.3094 Ca
0.6547 0.6547 0.6906 Ca
0.7500 0.2500 0.5000 In
0.2500 0.7500 0.5000 In
```


Record 6
# KCa2In2

Crystalline KCa2In2 at its relaxed geometry (PBE-GGA, Alexandria via LeMat-Bulk).

Computed properties:
mass density	3.00	g/cm³
symmetry	I4/mmm (139)
D(E_F)	2.67	states/eV/cell
electronic total energy	-11.3	eV/f.u.
calculated formation energy	-3.42	kcal/mol of atoms

```
KCa2In2
1.0
5.6645 0.0000 0.0000
0.0000 5.6645 0.0000
2.8322 2.8322 6.0179
In Ca K
2 2 1
Direct
0.3857 0.3857 0.2286 In
0.6143 0.6143 0.7714 In
0.2500 0.7500 0.5000 Ca
0.7500 0.2500 0.5000 Ca
0.0000 0.0000 0.0000 K
```


Record 7
# KCa2In2

Crystalline KCa2In2 at its relaxed geometry (PBE-GGA, Alexandria via LeMat-Bulk).

Computed properties:
mass density	3.43	g/cm³
symmetry	P4/mbm (127)
D(E_F)	4.47	states/eV/cell
electronic total energy	-11.8	eV/f.u.
calculated formation energy	-5.80	kcal/mol of atoms

```
KCa2In2
1.0
9.3668 0.0000 0.0000
0.0000 9.3668 0.0000
0.0000 0.0000 3.8556
Ca In K
4 4 2
Direct
0.6744 0.8256 0.5000 Ca
0.3256 0.1744 0.5000 Ca
0.8256 0.3256 0.5000 Ca
0.1744 0.6744 0.5000 Ca
0.3817 0.8817 0.0000 In
0.6183 0.1183 0.0000 In
0.8817 0.6183 0.0000 In
0.1183 0.3817 0.0000 In
0.5000 0.5000 0.0000 K
0.0000 0.0000 0.0000 K
```


Record 8
# KCa2In2

Crystalline KCa2In2 at its relaxed geometry (PBE-GGA, Alexandria via LeMat-Bulk).

Computed properties:
mass density	3.47	g/cm³
symmetry	P4/mbm (127)
D(E_F)	5.25	states/eV/cell
electronic total energy	-11.8	eV/f.u.
calculated formation energy	-5.43	kcal/mol of atoms

```
KCa2In2
1.0
-1.4817 8.9727 2.7303
-3.1865 2.1181 -8.6901
-3.4379 -0.8856 1.0447
In Ca K
4 4 2
Direct
0.6535 0.8465 0.5000 In
0.1535 0.6535 0.5000 In
0.3465 0.1535 0.5000 In
0.8465 0.3465 0.5000 In
0.3600 0.8600 0.0000 Ca
0.1400 0.3600 0.0000 Ca
0.8600 0.6400 0.0000 Ca
0.6400 0.1400 0.0000 Ca
0.5000 0.5000 0.0000 K
0.0000 0.0000 0.0000 K
```